[1]
LiPb3 PBE optimized geometry; ρ = 9122 kg/m3; SG = Cmmm, No. 65; density of states at the Fermi level = 0.38 states/eV per atom; DFT total energy = -13.405 eV/cell; formation energy from the elements = -92 meV/atom
1.0
3.306 -5.071 0.000
3.306 5.071 0.000
0.000 0.000 3.412
Li Pb
1 3
Direct
0.000 0.000 0.000
0.000 0.500 0.500
0.500 0.000 0.500
0.500 0.500 0.000

***

[2]
Li4SmGe2Au PBE optimized geometry; ρ = 5709 kg/m3; SG = R-3m, No. 166; density of states at the Fermi level = 0.52 states/eV per atom; DFT total energy = -28.283 eV/cell; formation energy from the elements = -425 meV/atom
1.0
2.240 1.293 8.705
-2.240 1.293 8.705
0.000 -2.587 8.705
Li Sm Ge Au
4 1 2 1
Direct
0.095 0.095 0.095
0.370 0.370 0.370
0.630 0.630 0.630
0.905 0.905 0.905
0.500 0.500 0.500
0.229 0.229 0.229
0.771 0.771 0.771
0.000 0.000 0.000